## FeAsBr2O (GGA+U)

Data for an optimized crystal structure of FeAsBr2O.

Properties
- Raw total energy: -3.1405 eV/atom
- Excess energy over the best structure of this formula in the dataset: 0.0 meV per atom
- N(E_F): 2.360 states/eV/cell
- Calculated volume: 20.15 Å³ per atom

Cell: 4.8021 4.8021 4.3679 Å, 90.00 90.00 90.00°
Atoms (fractional coordinates):
Fe (0.0000, 0.0000, 0.0000)
As (0.5000, 0.5000, 0.0000)
Br (0.0000, 0.5000, 0.5000)
Br (0.5000, 0.0000, 0.5000)
O (0.5000, 0.5000, 0.5000)


## FeAsBr2O (GGA+U)

Data for an optimized crystal structure of FeAsBr2O.

Properties
- Raw total energy: -2.8409 eV/atom
- Excess energy over the best structure of this formula in the dataset: 299.6 meV per atom
- N(E_F): 8.268 states/eV/cell
- Calculated volume: 25.02 Å³ per atom

Cell: 4.9810 4.9810 5.0429 Å, 90.00 90.00 90.00°
Atoms (fractional coordinates):
Fe (0.0000, 0.0000, 0.0000)
As (0.0000, 0.0000, 0.5000)
Br (0.0000, 0.5000, 0.0000)
Br (0.5000, 0.0000, 0.0000)
O (0.5000, 0.5000, 0.5000)